Here is a relaxed RbCd3As crystal from the Alexandria database. Energies are from PBEsol.

It has space group Pm-3m (No. 221), with a = 5.419 Å, b = 5.419 Å, c = 5.419 Å, α = 90.00°, β = 90.00° and γ = 90.00°. The inequivalent atoms are Rb at (0.000, 0.000, 0.000), Cd at (0.000, 0.500, 0.500) and As at (0.500, 0.500, 0.500).

For the formation enthalpy at 0 K, the calculation gives 0.192 eV per atom. The magnetization comes out at 0.0 μB/f.u. The uncorrected energy comes out at -1.75 eV per atom. Its density of states at the Fermi level is 2.38 states/eV/f.u.